HfUAsN2 | PBE | optimized geometry

The space group is I4mm (No. 107) and the conventional cell measures 3.7430, 3.7430 and 11.4660 Å, with angles of 90.00, 90.00 and 90.00 degrees. The asymmetric unit holds Hf at (0.0000, 0.0000, 0.0000), U at (0.0000, 0.0000, 0.3103), As at (0.0000, 0.0000, 0.6582) and N at (0.0000, 0.5000, 0.4089).

For the density of states at the Fermi level, the calculation gives 2.07 states/eV/f.u. As for the spin magnetization: 2.02 μB/cell. For the uncorrected formation energy, the calculation gives -1.283 eV per atom. For the volume, the calculation gives 16.1 Å³ per atom.